(1)
The following is a DFT calculation (PBE) of an optimized crystal structure of Li2CuHRu.

a b c (Å): 3.732 3.732 3.752
angles (deg): 90.00 90.00 90.00
Element x y z (fractional)
Li  0.000  0.500  0.000
Li  0.500  0.000  0.000
Cu  0.000  0.000  0.500
H  0.500  0.500  0.000
Ru  0.500  0.500  0.500

Values from the calculation:
**Symmetry**: P4/mmm (123)
**Electronic total energy**: -20.63 eV per formula unit
**Total magnetization**: 0.0000 μB per atom
**Theoretical density**: 5.70 g/cm3
**N(E_F)**: 1.29 states/eV/f.u.

---

(2)
The following is a DFT calculation (PBE) of an optimized crystal structure of HfHO2.

a b c (Å): 4.003 3.299 5.774
angles (deg): 90.00 107.56 90.00
Element x y z (fractional)
Hf  0.164  0.250  0.289
Hf  0.836  0.750  0.711
H  0.418  0.250  0.864
H  0.582  0.750  0.136
O  0.181  0.250  0.907
O  0.273  0.750  0.560
O  0.727  0.250  0.440
O  0.819  0.750  0.093

Values from the calculation:
**Symmetry**: P2_1/m (11)
**Electronic total energy**: -32.01 eV per formula unit
**Total magnetization**: 0.0000 μB per atom
**Theoretical density**: 9.66 g/cm3
**N(E_F)**: 1.63 states/eV/f.u.

---

(3)
The following is a DFT calculation (PBE) of an optimized crystal structure of SrCa3Ag4.

a b c (Å): 4.284 4.619 11.545
angles (deg): 90.00 90.00 90.00
Element x y z (fractional)
Sr  0.000  0.000  0.000
Ca  0.000  0.500  0.289
Ca  0.500  0.000  0.503
Ca  0.500  0.500  0.776
Ag  0.000  0.000  0.712
Ag  0.000  0.500  0.565
Ag  0.500  0.000  0.227
Ag  0.500  0.500  0.076

Values from the calculation:
**Symmetry**: Pmm2 (25)
**Energy above the lowest structure with this stoichiometry**: 0.000 eV/atom
**Total magnetization**: 0.0000 μB per atom
**Theoretical density**: 4.65 g/cm3
**N(E_F)**: 4.22 states/eV/f.u.

---

(4)
The following is a DFT calculation (PBE) of an optimized crystal structure of Sc5Ir3.

a b c (Å): 10.277 10.277 5.906
angles (deg): 90.00 90.00 90.00
Element x y z (fractional)
Sc  0.039  0.166  0.136
Sc  0.039  0.334  0.636
Sc  0.166  0.039  0.636
Sc  0.166  0.461  0.136
Sc  0.250  0.750  0.000
Sc  0.250  0.750  0.500
Sc  0.334  0.039  0.136
Sc  0.334  0.461  0.636
Sc  0.461  0.166  0.636
Sc  0.461  0.334  0.136
Sc  0.539  0.666  0.864
Sc  0.539  0.834  0.364
Sc  0.666  0.539  0.364
Sc  0.666  0.961  0.864
Sc  0.750  0.250  0.000
Sc  0.750  0.250  0.500
Sc  0.834  0.539  0.864
Sc  0.834  0.961  0.364
Sc  0.961  0.666  0.364
Sc  0.961  0.834  0.864
Ir  0.094  0.594  0.750
Ir  0.094  0.906  0.250
Ir  0.250  0.250  0.383
Ir  0.250  0.250  0.883
Ir  0.406  0.594  0.250
Ir  0.406  0.906  0.750
Ir  0.594  0.094  0.250
Ir  0.594  0.406  0.750
Ir  0.750  0.750  0.117
Ir  0.750  0.750  0.617
Ir  0.906  0.094  0.750
Ir  0.906  0.406  0.250

Values from the calculation:
**Symmetry**: P4/ncc (130)
**Energy above the lowest structure with this stoichiometry**: 0.000 eV/atom
**Total magnetization**: 0.0000 μB per atom
**Theoretical density**: 8.53 g/cm3
**N(E_F)**: 6.10 states/eV/f.u.

---

(5)
The following is a DFT calculation (PBE) of an optimized crystal structure of Sm2YHg.

a b c (Å): 7.012 10.378 6.784
angles (deg): 90.00 90.00 90.00
Element x y z (fractional)
Sm  0.202  0.041  0.190
Sm  0.202  0.459  0.190
Sm  0.298  0.541  0.690
Sm  0.298  0.959  0.690
Sm  0.702  0.041  0.310
Sm  0.702  0.459  0.310
Sm  0.798  0.541  0.810
Sm  0.798  0.959  0.810
Y  0.002  0.750  0.393
Y  0.498  0.250  0.893
Y  0.502  0.750  0.107
Y  0.998  0.250  0.607
Hg  0.083  0.750  0.953
Hg  0.417  0.250  0.453
Hg  0.583  0.750  0.547
Hg  0.917  0.250  0.047

Values from the calculation:
**Symmetry**: Pnma (62)
**Energy above the lowest structure with this stoichiometry**: 0.035 eV/atom
**Total magnetization**: 0.0000 μB per atom
**Theoretical density**: 7.94 g/cm3
**N(E_F)**: 4.82 states/eV/f.u.

---

(6)
The following is a DFT calculation (PBE) of an optimized crystal structure of Sr8CdGa2.

a b c (Å): 9.003 9.003 6.433
angles (deg): 99.02 99.02 111.86
Element x y z (fractional)
Sr  0.000  0.000  0.000
Sr  0.041  0.304  0.614
Sr  0.138  0.606  0.201
Sr  0.304  0.041  0.614
Sr  0.437  0.702  0.792
Sr  0.606  0.138  0.201
Sr  0.702  0.437  0.792
Sr  0.743  0.743  0.397
Cd  0.373  0.373  0.102
Ga  0.053  0.685  0.698
Ga  0.685  0.053  0.698

Values from the calculation:
**Symmetry**: Cm (8)
**Energy above the lowest structure with this stoichiometry**: 0.047 eV/atom
**Total magnetization**: 0.0000 μB per atom
**Theoretical density**: 3.41 g/cm3
**N(E_F)**: 10.51 states/eV/f.u.

---

(7)
The following is a DFT calculation (PBE) of an optimized crystal structure of Ce5ThP6.

a b c (Å): 7.106 7.106 7.106
angles (deg): 99.60 99.60 119.99
Element x y z (fractional)
Ce  0.000  0.000  0.000
Ce  0.167  0.833  0.500
Ce  0.333  0.667  0.000
Ce  0.667  0.333  0.000
Ce  0.833  0.167  0.500
Th  0.500  0.500  0.500
P  0.081  0.416  0.249
P  0.249  0.249  0.751
P  0.416  0.081  0.249
P  0.584  0.919  0.751
P  0.751  0.751  0.249
P  0.919  0.584  0.751

Values from the calculation:
**Symmetry**: C2/m (12)
**Electronic total energy**: -87.73 eV per formula unit
**Total magnetization**: 0.2395 μB per atom
**Theoretical density**: 6.34 g/cm3
**N(E_F)**: 21.65 states/eV/f.u.

---

(8)
The following is a DFT calculation (PBE) of an optimized crystal structure of Cu3NiPt4.

a b c (Å): 11.147 11.147 11.147
angles (deg): 165.85 159.94 24.63
Element x y z (fractional)
Cu  0.000  0.000  0.000
Cu  0.220  0.720  0.500
Cu  0.780  0.280  0.500
Ni  0.500  0.500  0.000
Pt  0.096  0.596  0.500
Pt  0.339  0.839  0.500
Pt  0.661  0.161  0.500
Pt  0.904  0.404  0.500

Values from the calculation:
**Symmetry**: Immm (71)
**Energy above the lowest structure with this stoichiometry**: 0.204 eV/atom
**Total magnetization**: 0.1280 μB per atom
**Theoretical density**: 14.73 g/cm3
**N(E_F)**: 10.48 states/eV/f.u.

---

(9)
The following is a DFT calculation (PBE) of an optimized crystal structure of CaIn2Re.

a b c (Å): 5.090 5.090 5.985
angles (deg): 97.65 97.65 34.51
Element x y z (fractional)
Ca  0.000  0.000  0.000
In  0.239  0.239  0.718
In  0.761  0.761  0.282
Re  0.500  0.500  0.500

Values from the calculation:
**Symmetry**: C2/m (12)
**Energy above the lowest structure with this stoichiometry**: 0.060 eV/atom
**Total magnetization**: 0.0000 μB per atom
**Theoretical density**: 8.70 g/cm3
**N(E_F)**: 1.64 states/eV/f.u.

---

(10)
The following is a DFT calculation (PBE) of an optimized crystal structure of K2ScCo.

a b c (Å): 4.583 4.583 10.404
angles (deg): 101.40 101.40 42.79
Element x y z (fractional)
K  0.000  0.000  0.000
K  0.151  0.151  0.590
Sc  0.336  0.336  0.295
Co  0.631  0.631  0.295

Values from the calculation:
**Symmetry**: Cm (8)
**Energy above the lowest structure with this stoichiometry**: 0.127 eV/atom
**Total magnetization**: 0.0000 μB per atom
**Theoretical density**: 2.08 g/cm3
**N(E_F)**: 2.73 states/eV/f.u.

---

(11)
The following is a DFT calculation (PBE) of an optimized crystal structure of LaTb4Dy4.

a b c (Å): 6.239 8.892 10.805
angles (deg): 78.42 89.94 83.22
Element x y z (fractional)
La  0.250  0.000  0.250
La  0.750  0.000  0.750
Tb  0.138  0.664  0.139
Tb  0.138  0.665  0.474
Tb  0.141  0.665  0.806
Tb  0.362  0.335  0.026
Tb  0.638  0.665  0.974
Tb  0.859  0.335  0.194
Tb  0.862  0.335  0.526
Tb  0.862  0.336  0.861
Dy  0.249  0.000  0.917
Dy  0.251  0.000  0.583
Dy  0.359  0.335  0.694
Dy  0.362  0.336  0.362
Dy  0.638  0.664  0.638
Dy  0.641  0.665  0.306
Dy  0.749  0.000  0.417
Dy  0.751  0.000  0.083

Values from the calculation:
**Symmetry**: P-1 (2)
**Energy above the lowest structure with this stoichiometry**: 0.000 eV/atom
**Total magnetization**: 0.0000 μB per atom
**Theoretical density**: 8.12 g/cm3
**N(E_F)**: 12.92 states/eV/f.u.

---

(12)
The following is a DFT calculation (PBE) of an optimized crystal structure of LaCeNi2Ge2.

a b c (Å): 4.194 4.194 8.040
angles (deg): 90.00 90.00 120.00
Element x y z (fractional)
La  0.000  0.000  0.000
Ce  0.000  0.000  0.500
Ni  0.333  0.667  0.267
Ni  0.667  0.333  0.733
Ge  0.333  0.667  0.738
Ge  0.667  0.333  0.262

Values from the calculation:
**Symmetry**: P-3m1 (164)
**Electronic total energy**: -36.04 eV per formula unit
**Total magnetization**: 0.0000 μB per atom
**Theoretical density**: 7.34 g/cm3
**N(E_F)**: 7.98 states/eV/f.u.

---

(13)
The following is a DFT calculation (PBE) of an optimized crystal structure of Hg3H6PtN2Cl8.

a b c (Å): 10.231 10.231 13.612
angles (deg): 102.63 102.63 39.08
Element x y z (fractional)
Hg  0.000  0.000  0.000
Hg  0.000  0.000  0.500
Hg  0.185  0.206  0.428
Hg  0.206  0.185  0.928
Hg  0.794  0.815  0.072
Hg  0.815  0.794  0.572
H  0.296  0.482  0.301
H  0.352  0.464  0.715
H  0.388  0.522  0.834
H  0.464  0.352  0.215
H  0.478  0.612  0.666
H  0.482  0.296  0.801
H  0.518  0.704  0.199
H  0.522  0.388  0.334
H  0.536  0.648  0.785
H  0.612  0.478  0.166
H  0.648  0.536  0.285
H  0.704  0.518  0.699
Pt  0.263  0.737  0.250
Pt  0.737  0.263  0.750
N  0.403  0.456  0.278
N  0.456  0.403  0.778
N  0.544  0.597  0.222
N  0.597  0.544  0.722
Cl  0.022  0.486  0.645
Cl  0.051  0.112  0.725
Cl  0.102  0.595  0.996
Cl  0.112  0.051  0.225
Cl  0.224  0.659  0.538
Cl  0.341  0.776  0.962
Cl  0.405  0.898  0.504
Cl  0.486  0.022  0.145
Cl  0.514  0.978  0.855
Cl  0.595  0.102  0.496
Cl  0.659  0.224  0.038
Cl  0.776  0.341  0.462
Cl  0.888  0.949  0.775
Cl  0.898  0.405  0.004
Cl  0.949  0.888  0.275
Cl  0.978  0.514  0.355

Values from the calculation:
**Symmetry**: C2/c (15)
**Electronic total energy**: -69.61 eV per formula unit
**Total magnetization**: 0.0104 μB per atom
**Theoretical density**: 4.24 g/cm3
**N(E_F)**: 0.00 states/eV/f.u.

---

(14)
The following is a DFT calculation (PBE) of an optimized crystal structure of Cr3Os.

a b c (Å): 4.646 4.646 4.646
angles (deg): 90.00 90.00 90.00
Element x y z (fractional)
Cr  0.000  0.250  0.500
Cr  0.000  0.750  0.500
Cr  0.250  0.500  0.000
Cr  0.500  0.000  0.250
Cr  0.500  0.000  0.750
Cr  0.750  0.500  0.000
Os  0.000  0.000  0.000
Os  0.500  0.500  0.500

Values from the calculation:
**Symmetry**: Pm-3n (223)
**Electronic total energy**: -40.06 eV per formula unit
**Total magnetization**: 0.0001 μB per atom
**Theoretical density**: 11.46 g/cm3
**N(E_F)**: 5.96 states/eV/f.u.

---

(15)
The following is a DFT calculation (PBE) of an optimized crystal structure of Ac4CdCu.

a b c (Å): 3.925 3.925 13.894
angles (deg): 90.00 90.00 90.00
Element x y z (fractional)
Ac  0.000  0.000  0.131
Ac  0.000  0.000  0.869
Ac  0.500  0.500  0.346
Ac  0.500  0.500  0.654
Cd  0.000  0.000  0.500
Cu  0.500  0.500  0.000

Values from the calculation:
**Symmetry**: P4/mmm (123)
**Energy above the lowest structure with this stoichiometry**: 0.000 eV/atom
**Total magnetization**: 0.0001 μB per atom
**Theoretical density**: 8.41 g/cm3
**N(E_F)**: 7.23 states/eV/f.u.

---

(16)
The following is a DFT calculation (PBE) of an optimized crystal structure of NaHg2Os2.

a b c (Å): 8.441 8.441 2.837
angles (deg): 90.00 90.00 90.00
Element x y z (fractional)
Na  0.000  0.000  0.000
Na  0.500  0.500  0.000
Hg  0.194  0.306  0.000
Hg  0.306  0.806  0.000
Hg  0.694  0.194  0.000
Hg  0.806  0.694  0.000
Os  0.099  0.599  0.500
Os  0.401  0.099  0.500
Os  0.599  0.901  0.500
Os  0.901  0.401  0.500

Values from the calculation:
**Symmetry**: P4/mbm (127)
**Energy above the lowest structure with this stoichiometry**: 0.096 eV/atom
**Total magnetization**: 0.1381 μB per atom
**Theoretical density**: 13.22 g/cm3
**N(E_F)**: 6.22 states/eV/f.u.

---

(17)
The following is a DFT calculation (PBE) of an optimized crystal structure of Rb2HRu.

a b c (Å): 5.818 5.818 5.818
angles (deg): 60.00 60.00 60.00
Element x y z (fractional)
Rb  0.250  0.250  0.250
Rb  0.750  0.750  0.750
H  0.000  0.000  0.000
Ru  0.500  0.500  0.500

Values from the calculation:
**Symmetry**: Fm-3m (225)
**Energy above the lowest structure with this stoichiometry**: 0.642 eV/atom
**Total magnetization**: 0.7500 μB per atom
**Theoretical density**: 3.26 g/cm3
**N(E_F)**: 13.40 states/eV/f.u.

---

(18)
The following is a DFT calculation (PBE) of an optimized crystal structure of DyHo5Er2Tm.

a b c (Å): 10.207 10.207 10.474
angles (deg): 90.00 90.00 148.58
Element x y z (fractional)
Dy  0.200  0.800  0.500
Dy  0.800  0.200  0.000
Ho  0.018  0.982  0.513
Ho  0.281  0.719  0.797
Ho  0.300  0.700  0.197
Ho  0.390  0.610  0.512
Ho  0.480  0.520  0.228
Ho  0.520  0.480  0.728
Ho  0.610  0.390  0.012
Ho  0.700  0.300  0.697
Ho  0.719  0.281  0.297
Ho  0.982  0.018  0.013
Er  0.110  0.890  0.227
Er  0.113  0.887  0.806
Er  0.887  0.113  0.306
Er  0.890  0.110  0.727
Tm  0.413  0.587  0.946
Tm  0.587  0.413  0.446

Values from the calculation:
**Symmetry**: Cmc2_1 (36)
**Electronic total energy**: -39.68 eV per formula unit
**Total magnetization**: 0.0000 μB per atom
**Theoretical density**: 8.70 g/cm3
**N(E_F)**: 14.41 states/eV/f.u.

---

(19)
The following is a DFT calculation (PBE) of an optimized crystal structure of UAsO.

a b c (Å): 6.666 6.666 4.153
angles (deg): 90.00 90.00 147.30
Element x y z (fractional)
U  0.149  0.851  0.750
U  0.851  0.149  0.250
As  0.446  0.554  0.750
As  0.554  0.446  0.250
O  0.249  0.751  0.250
O  0.751  0.249  0.750

Values from the calculation:
**Symmetry**: Cmcm (63)
**Energy above the lowest structure with this stoichiometry**: 0.036 eV/atom
**Total magnetization**: 0.6317 μB per atom
**Theoretical density**: 10.95 g/cm3
**N(E_F)**: 5.68 states/eV/f.u.
**Energy relative to the elements, uncorrected**: -524 kJ/mol of formula units

---

(20)
The following is a DFT calculation (PBE) of an optimized crystal structure of Ho6GeSb2Te3.

a b c (Å): 9.699 9.699 8.684
angles (deg): 103.09 103.09 25.68
Element x y z (fractional)
Ho  0.001  0.001  0.224
Ho  0.333  0.333  0.423
Ho  0.346  0.346  0.918
Ho  0.654  0.654  0.082
Ho  0.667  0.667  0.577
Ho  0.999  0.999  0.776
Ge  0.500  0.500  0.000
Sb  0.167  0.167  0.333
Sb  0.833  0.833  0.667
Te  0.170  0.170  0.835
Te  0.500  0.500  0.500
Te  0.830  0.830  0.165

Values from the calculation:
**Symmetry**: C2/m (12)
**Total magnetization**: 0.0000 μB per atom
**Theoretical density**: 8.14 g/cm3
**N(E_F)**: 3.94 states/eV/f.u.
**Energy relative to the elements, uncorrected**: -1419 kJ/mol of formula units